# 1
VASP calculation (GGA-PBE) on Sm6BiAs2Se3 after structural relaxation.

Cell: 9.5155 9.5155 8.5356 Å, 102.60 102.60 25.82°
Closest atoms and distances in Å follow each position.
Sites, in units of the cell vectors:
Sm1 0.0050 0.0050 0.2668  3 Se 2.93-3.05, 1 As 2.94, 2 Bi 3.10
Sm2 0.3268 0.3268 0.9010  2 As 2.95, 3 Se 2.95-3.08, 1 Bi 3.13
Sm3 0.3297 0.3297 0.4223  3 As 2.93-2.96, 3 Se 3.07-3.08
Sm4 0.6703 0.6703 0.5777  3 As 2.93-2.96, 3 Se 3.07-3.08
Sm5 0.6732 0.6732 0.0990  2 As 2.95, 3 Se 2.95-3.08, 1 Bi 3.13
Sm6 0.9950 0.9950 0.7332  3 Se 2.93-3.05, 1 As 2.94, 2 Bi 3.10
Bi1 0.5000 0.5000 0.0000  6 Sm 3.10-3.13
As1 0.1677 0.1677 0.3352  6 Sm 2.93-2.96
As2 0.8323 0.8323 0.6648  6 Sm 2.93-2.96
Se1 0.1636 0.1636 0.8333  6 Sm 2.95-3.08
Se2 0.5000 0.5000 0.5000  6 Sm 2.93-3.08
Se3 0.8364 0.8364 0.1667  6 Sm 2.95-3.08

Summary:
Crystal system: monoclinic
E_form (uncorrected), meV/atom: -1591
Symmetry: C2/m

# 2
VASP calculation (GGA-PBE) on Sm6Bi3As2Se after structural relaxation.

Cell: 9.8094 9.8094 8.7983 Å, 103.52 103.52 25.70°
Closest atoms and distances in Å follow each position.
Sites, in units of the cell vectors:
Sm1 0.0061 0.0061 0.2440  1 As 2.98, 2 Se 3.04, 3 Bi 3.16-3.18
Sm2 0.3281 0.3281 0.4296  3 As 3.00-3.01, 3 Bi 3.20
Sm3 0.3354 0.3354 0.9018  2 As 3.00, 1 Se 3.06, 3 Bi 3.17-3.19
Sm4 0.6646 0.6646 0.0982  2 As 3.00, 1 Se 3.06, 3 Bi 3.17-3.19
Sm5 0.6719 0.6719 0.5704  3 As 3.00-3.01, 3 Bi 3.20
Sm6 0.9939 0.9939 0.7560  1 As 2.98, 2 Se 3.04, 3 Bi 3.16-3.18
Bi1 0.1651 0.1651 0.8333  6 Sm 3.17-3.20
Bi2 0.5000 0.5000 0.5000  6 Sm 3.16-3.20
Bi3 0.8349 0.8349 0.1667  6 Sm 3.17-3.20
As1 0.1667 0.1667 0.3325  6 Sm 2.98-3.01
As2 0.8333 0.8333 0.6675  6 Sm 2.98-3.01
Se1 0.5000 0.5000 0.0000  6 Sm 3.04-3.06

Summary:
Crystal system: monoclinic
E_form (uncorrected), meV/atom: -1270
Symmetry: C2/m

# 3
VASP calculation (GGA-PBE) on Sm6BiAs3Se2 after structural relaxation.

Cell: 9.5502 9.5502 8.5584 Å, 103.42 103.42 25.75°
Closest atoms and distances in Å follow each position.
Sites, in units of the cell vectors:
Sm1 0.0012 0.0012 0.2342  3 As 2.92-2.98, 1 Se 3.08, 2 Bi 3.12
Sm2 0.3269 0.3269 0.4208  3 As 2.92-2.98, 2 Se 3.08, 1 Bi 3.13
Sm3 0.3356 0.3356 0.9101  3 As 2.96-2.97, 3 Se 3.02-3.05
Sm4 0.6644 0.6644 0.0899  3 As 2.96-2.97, 3 Se 3.02-3.05
Sm5 0.6731 0.6731 0.5792  3 As 2.92-2.98, 2 Se 3.08, 1 Bi 3.13
Sm6 0.9988 0.9988 0.7658  3 As 2.92-2.98, 1 Se 3.08, 2 Bi 3.12
Bi1 0.5000 0.5000 0.5000  6 Sm 3.12-3.13
As1 0.1657 0.1657 0.3313  6 Sm 2.92-2.98
As2 0.5000 0.5000 0.0000  6 Sm 2.92-2.97
As3 0.8343 0.8343 0.6687  6 Sm 2.92-2.98
Se1 0.1686 0.1686 0.8362  6 Sm 3.02-3.08
Se2 0.8314 0.8314 0.1638  6 Sm 3.02-3.08

Summary:
Crystal system: monoclinic
E_form (uncorrected), meV/atom: -1550
Symmetry: C2/m

# 4
VASP calculation (GGA-PBE) on SnBiAsSe2 after structural relaxation.

Cell: 5.2517 5.2517 5.2476 Å, 90.00 90.00 90.00°
Closest atoms and distances in Å follow each position.
Sites, in units of the cell vectors:
Sn1 0.0000 0.0000 0.0000  2 As 2.62, 4 Se 2.63
Bi1 0.5000 0.5000 0.5000  8 Se 3.71, 4 As 3.71
As1 0.0000 0.0000 0.5000  2 Sn 2.62
Se1 0.0000 0.5000 0.0000  2 Sn 2.63
Se2 0.5000 0.0000 0.0000  2 Sn 2.63

Summary:
Excess energy over the best structure of this formula in the dataset, eV/atom: 0.000
Crystal system: tetragonal
E_form (uncorrected), meV/atom: 427
Symmetry: P4/mmm

Question: Which formula does entry 3 have?
Answer: Sm6BiAs3Se2